1.
The following is a DFT calculation (PBE) of BaFeRe2Cl after structural relaxation. Values from VASP.

Computed properties:
The value obtained for the raw total energy is -6.4737 eV per atom. The uncorrected formation energy is 0.9519 eV per atom. The symmetry is P4/mmm.

Geometry as Quantum ESPRESSO input:
```
&SYSTEM
  ibrav = 0, nat = 5, ntyp = 4
/
ATOMIC_SPECIES
Re 186.21 Re.upf
Cl 35.45 Cl.upf
Ba 137.33 Ba.upf
Fe 55.84 Fe.upf
ATOMIC_POSITIONS crystal
Re 0.0000 0.0000 0.5000
Re 0.5000 0.0000 0.0000
Cl 0.0000 0.5000 0.0000
Ba 0.5000 0.5000 0.5000
Fe 0.0000 0.0000 0.0000
CELL_PARAMETERS angstrom
4.4075 0.0000 0.0000
0.0000 6.5540 0.0000
0.0000 0.0000 4.4075
```

---

2.
The following is a DFT calculation (PBE) of KMnAg2Se after structural relaxation. Values from VASP.

Computed properties:
The value obtained for the raw total energy is -3.8421 eV per atom. The uncorrected formation energy is 0.0487 eV per atom. The symmetry is P4/mmm.

Geometry as Quantum ESPRESSO input:
```
&SYSTEM
  ibrav = 0, nat = 5, ntyp = 4
/
ATOMIC_SPECIES
K 39.10 K.upf
Mn 54.94 Mn.upf
Se 78.96 Se.upf
Ag 107.87 Ag.upf
ATOMIC_POSITIONS crystal
K 0.5000 0.5000 0.5000
Mn 0.0000 0.0000 0.0000
Se 0.0000 0.5000 0.0000
Ag 0.0000 0.0000 0.5000
Ag 0.5000 0.0000 0.0000
CELL_PARAMETERS angstrom
-4.0938 1.4631 2.8929
-0.9695 -4.6148 0.9619
3.0665 0.2355 4.2203
```

---

3.
The following is a DFT calculation (PBE) of Na5Cd5Pt2 after structural relaxation. Values from VASP.

Computed properties:
The value obtained for the raw total energy is -2.1145 eV per atom. For the formation energy, the calculation gives -205 kJ/mol of formula units. The symmetry is C2/m.

Geometry as Quantum ESPRESSO input:
```
&SYSTEM
  ibrav = 0, nat = 12, ntyp = 3
/
ATOMIC_SPECIES
Na 22.99 Na.upf
Cd 112.41 Cd.upf
Pt 195.08 Pt.upf
ATOMIC_POSITIONS crystal
Na 0.5000 0.5000 0.5000
Na 0.4009 0.2796 0.9186
Na 0.3135 0.0302 0.3428
Na 0.6865 0.9698 0.6572
Na 0.5991 0.7204 0.0814
Cd 0.9461 0.7324 0.3754
Cd 0.2399 0.6736 0.8467
Cd 0.7601 0.3264 0.1533
Cd 0.0539 0.2676 0.6246
Cd 0.0000 0.0000 0.0000
Pt 0.8415 0.5585 0.7585
Pt 0.1585 0.4415 0.2415
CELL_PARAMETERS angstrom
4.7365 0.0000 1.5289
1.5814 7.5611 3.2020
0.0836 0.0013 7.8421
```

---

4.
The following is a DFT calculation (PBE) of CuH2Cl after structural relaxation. Values from VASP.

Computed properties:
The energy above the most stable polymorph in this dataset is 0.0 meV per atom. The value obtained for the raw total energy is -3.3551 eV per atom. The symmetry is Pm.

Geometry as Quantum ESPRESSO input:
```
&SYSTEM
  ibrav = 0, nat = 4, ntyp = 3
/
ATOMIC_SPECIES
Cu 63.55 Cu.upf
H 1.01 H.upf
Cl 35.45 Cl.upf
ATOMIC_POSITIONS crystal
Cu 0.5660 0.3229 0.0000
H 0.6269 0.4590 0.5000
H 0.4987 0.2360 0.5000
Cl 0.8992 0.9900 0.0000
CELL_PARAMETERS angstrom
3.8818 -0.0047 0.0000
-1.9391 3.3611 0.0000
0.0000 0.0000 6.2644
```

---

5.
The following is a DFT calculation (PBE) of TbPrAsS after structural relaxation. Values from VASP.

Computed properties:
The value obtained for the raw total energy is -6.2412 eV per atom. The uncorrected formation energy is -1.6945 eV per atom. The symmetry is R3m.

Geometry as Quantum ESPRESSO input:
```
&SYSTEM
  ibrav = 0, nat = 4, ntyp = 4
/
ATOMIC_SPECIES
Tb 158.93 Tb.upf
Pr 140.91 Pr.upf
As 74.92 As.upf
S 32.06 S.upf
ATOMIC_POSITIONS crystal
Tb 0.3087 0.5522 0.8763
Pr 0.9627 0.3794 0.3572
As 0.1262 0.9611 0.1025
S 0.4802 0.1381 0.6337
CELL_PARAMETERS angstrom
-2.6328 2.5984 1.6415
-0.0448 -3.8941 1.1028
6.4289 0.9910 3.7577
```

---

6.
The following is a DFT calculation (PBE) of PmDy2Pu after structural relaxation. Values from VASP.

Computed properties:
The energy above the most stable polymorph in this dataset is 169.3 meV per atom. The value obtained for the raw total energy is -6.8011 eV per atom. For the formation energy, the calculation gives 104 kJ/mol of formula units. The symmetry is R-3m.

Geometry as Quantum ESPRESSO input:
```
&SYSTEM
  ibrav = 0, nat = 4, ntyp = 3
/
ATOMIC_SPECIES
Dy 162.50 Dy.upf
Pm 145.00 Pm.upf
Pu 244.00 Pu.upf
ATOMIC_POSITIONS crystal
Dy 0.0879 0.0879 0.7363
Dy 0.9121 0.9121 0.2637
Pm 0.5000 0.5000 0.5000
Pu 0.0000 0.0000 0.0000
CELL_PARAMETERS angstrom
3.4623 0.0000 0.0000
1.7311 2.9984 0.0000
1.7311 0.9995 12.2972
```